A relaxed BaCaV2S crystal. Source: Alexandria via LeMat-Bulk, functional GGA-PBE.

Calculated values
Its density of states at the Fermi level is 9.680 states/eV per cell. The space group is P4/mmm. As for the raw total energy: -0.13254 hartree per atom. As for the total magnetization: 0.00 μB/cell. Its uncorrected formation energy is 1651 meV per atom.

```
5
Lattice="4.5823 0.0000 0.0000 0.0000 4.5823 0.0000 0.0000 0.0000 7.0249" Properties=species:S:1:pos:R:3 pbc="T T T"
Ba 0.0000 0.0000 0.0000
Ca 0.0000 0.0000 3.5125
V 0.0000 2.2912 3.5125
V 2.2912 0.0000 3.5125
S 2.2912 2.2912 0.0000
```